# 1
Computed, not measured: an optimized crystal structure of Zr3ScZn6 at the GGA-PBE level of DFT.

ΔH_f (0 K) = -0.25 eV per atom
SG = No. 11
M_tot = 0.0 μB/f.u.
Final energy = -4.213 eV/atom

```
Zr3ScZn6
1.0
-1.299 -0.457 -4.314
7.471 2.696 -2.534
1.083 -9.666 0.697
Zr Zn Sc
6 12 2
Cartesian
1.878 -9.300 -3.146
3.171 -6.832 -1.420
4.084 -0.594 -4.732
4.094 -2.515 -2.154
5.377 1.874 -3.005
3.162 -4.912 -3.997
5.407 -5.194 -2.266
1.954 -4.239 -1.328
1.848 -2.232 -3.885
0.964 -1.588 -1.311
5.301 -3.188 -4.824
0.838 -6.617 -3.117
3.094 0.160 -2.137
6.248 1.243 -5.578
1.008 -8.670 -0.574
4.161 -7.587 -4.015
6.291 -5.839 -4.841
6.417 -0.809 -3.034
7.399 -3.462 -3.049
-0.144 -3.965 -3.102
```

***

# 2
Computed, not measured: an optimized crystal structure of Ca2Cd5Ag2Rh at the GGA-PBE level of DFT.

ΔH_f (0 K) = -0.19 eV per atom
SG = No. 127
M_tot = 0.0 μB/f.u.
Final energy = -2.348 eV/atom

```
Ca2Cd5Ag2Rh
1.0
4.114 0.000 0.000
0.000 10.448 0.000
0.000 0.000 10.448
Cd Ca Rh Ag
10 4 2 4
Cartesian
2.057 5.224 0.000
2.057 3.239 5.798
2.057 9.874 1.985
2.057 0.574 8.463
2.057 7.209 4.650
2.057 5.798 7.209
2.057 1.985 0.574
2.057 0.000 5.224
2.057 4.650 3.239
2.057 8.463 9.874
0.000 8.610 7.062
0.000 1.838 3.386
0.000 3.386 8.610
0.000 7.062 1.838
0.000 0.000 0.000
0.000 5.224 5.224
0.000 6.538 9.134
0.000 9.134 3.910
0.000 3.910 1.314
0.000 1.314 6.538
```

***

# 3
Computed, not measured: an optimized crystal structure of K2RbNa at the GGA-PBE level of DFT.

ΔH_f (0 K) = 0.08 eV per atom
Relative energy among the computed polymorphs = 0.066 eV/atom
SG = No. 122
M_tot = 0.0 μB/f.u.
Final energy = -1.036 eV/atom

```
K2RbNa
1.0
6.023 0.000 0.000
0.000 6.023 0.000
3.011 3.011 15.349
Na K Rb
2 4 2
Cartesian
3.011 6.023 7.675
3.011 3.011 0.000
7.529 7.432 11.512
1.602 4.517 3.837
4.517 4.613 11.512
4.421 1.506 3.837
6.023 3.011 7.675
0.000 0.000 0.000
```

***

# 4
Computed, not measured: an optimized crystal structure of InNiSeI2 at the GGA-PBE level of DFT.

SG = No. 123
M_tot = 1.3 μB/f.u.
Final energy = -2.243 eV/atom

```
InNiSeI2
1.0
5.805 0.000 0.000
0.000 5.744 0.000
0.000 0.000 5.805
I Ni Se In
2 1 1 1
Cartesian
2.903 0.000 0.000
0.000 0.000 2.903
2.903 2.872 2.903
0.000 0.000 0.000
0.000 2.872 0.000
```

***

# 5
Computed, not measured: an optimized crystal structure of Ca3Pm3PuS8 at the GGA-PBE level of DFT.

SG = No. 166
M_tot = 5.5 μB/f.u.
Final energy = -6.510 eV/atom

```
Ca3Pm3PuS8
1.0
-0.696 7.360 3.192
-6.172 -3.241 -4.031
2.072 -2.943 7.237
S Ca Pm Pu
8 3 3 1
Cartesian
-0.004 4.796 4.259
0.349 1.057 2.637
-3.140 3.149 2.211
-2.059 1.687 5.817
-2.738 -0.511 0.581
-4.793 -3.619 2.139
-1.657 -1.973 4.187
-5.146 0.120 3.761
-3.434 2.060 -0.420
-3.086 -1.620 -2.016
0.000 0.000 0.000
0.688 2.209 5.215
-2.398 0.588 3.199
-2.050 -3.092 1.603
1.036 -1.471 3.618
```

***

# 6
Computed, not measured: an optimized crystal structure of Li3Mg2Sn3 at the GGA-PBE level of DFT.

ΔH_f (0 K) = -0.28 eV per atom
SG = No. 12
M_tot = 0.0 μB/f.u.
Final energy = -2.893 eV/atom

```
Li3Mg2Sn3
1.0
-0.439 2.192 -3.953
2.392 -3.235 -2.060
-8.058 -3.731 1.463
Li Sn Mg
3 3 2
Cartesian
-5.663 -2.174 -3.162
0.977 -0.522 -3.006
-0.442 -2.601 -1.388
-2.106 -0.037 -2.388
0.000 0.000 0.000
-3.999 -4.738 -2.161
-3.568 -2.142 -0.778
-2.537 -2.632 -3.772
```